[1]
Density functional theory data (PBE) for a geometry-optimized Zr2SiAu2 structure.

Unit cell a=7.251 b=7.251 c=3.986 alpha=90.00 beta=90.00 gamma=90.00
Sites, in units of the cell vectors:
Zr 0.164 0.336 0.000
Zr 0.336 0.836 0.000
Zr 0.664 0.164 0.000
Zr 0.836 0.664 0.000
Si 0.000 0.000 0.000
Si 0.500 0.500 0.000
Au 0.138 0.638 0.500
Au 0.362 0.138 0.500
Au 0.638 0.862 0.500
Au 0.862 0.362 0.500

Output
- formation energy from raw total energies (kJ per mole of atoms) = -25.6
- offset from the most stable computed form (meV per atom) = 107.9

[2]
Density functional theory data (PBE) for a geometry-optimized ZnC3 structure.

Unit cell a=3.422 b=2.408 c=6.012 alpha=90.00 beta=91.73 gamma=90.00
Sites, in units of the cell vectors:
Zn 0.000 0.000 0.000
C 0.000 0.000 0.500
C 0.299 0.500 0.500
C 0.701 0.500 0.500

Output
- ΔH_f (0 K) (eV per atom) = 1.471
- offset from the most stable computed form (meV per atom) = 1018.5

[3]
Density functional theory data (PBE) for a geometry-optimized Li2Nb2N3 structure.

Unit cell a=11.108 b=3.561 c=5.179 alpha=90.00 beta=115.67 gamma=90.00
Sites, in units of the cell vectors:
Li 0.096 0.000 0.397
Li 0.404 0.500 0.603
Li 0.596 0.500 0.397
Li 0.904 0.000 0.603
Nb 0.137 0.500 0.910
Nb 0.363 0.000 0.090
Nb 0.637 0.000 0.910
Nb 0.863 0.500 0.090
N 0.000 0.500 0.500
N 0.174 0.000 0.117
N 0.326 0.500 0.883
N 0.500 0.000 0.500
N 0.674 0.500 0.117
N 0.826 0.000 0.883

Output
- formation energy from raw total energies (kJ per mole of atoms) = -69.1

Computed total magnetization, in the same sequence as the records: 0.00; 0.00; 0.00 μB/f.u..
Computed calculated density, in the same sequence as the records: 9.58; 3.40; 4.35 Mg/m³.
Computed electronic total energy, in the same sequence as the records: -6.080; -5.766; -7.708 eV per atom.